First-principles (PBE-GGA) data for Tm3Zn2Pd2 after structural relaxation, as listed in Alexandria.

The structure in POSCAR format:
```
Tm3Zn2Pd2
1.0
1.920 -10.789 0.000
1.920 10.789 0.000
0.000 0.000 3.587
Tm Zn Pd
3 2 2
Direct
0.000 0.000 0.000 Tm
0.161 0.839 0.000 Tm
0.839 0.161 0.000 Tm
0.421 0.579 0.500 Zn
0.579 0.421 0.500 Zn
0.294 0.706 0.500 Pd
0.706 0.294 0.500 Pd
```

Results
- M_tot: 0.00 Bohr magnetons per cell
- Space-group type: Cmmm, No. 65
- Energy relative to the elements: -409.2 kJ/mol of formula units